VASP calculation (GGA-PBE) on SrIn2Se4 after structural relaxation.

```
SrIn2Se4
1.0
13.0928 -0.0021 0.0000
-5.9409 11.6673 0.0000
-3.5759 -5.8326 11.1753
Sr Se In
8 32 16
Cartesian
3.5758 5.8327 0.0000 Sr
8.3837 2.8850 0.0000 Sr
-7.6799 8.7209 5.5877 Sr
-2.9703 5.8336 5.5877 Sr
1.7386 2.9466 5.5877 Sr
6.5465 -0.0011 5.5877 Sr
-1.2316 8.7800 0.0000 Sr
13.0926 -0.0020 0.0000 Sr
-7.9497 6.9037 8.3800 Se
1.6521 -2.7096 10.3553 Se
-6.1828 9.7858 2.7953 Se
3.3668 3.9763 2.7918 Se
6.9429 5.9325 4.8707 Se
2.0088 4.7635 8.3800 Se
-2.7286 7.7152 2.7924 Se
-1.5593 -1.0284 8.3835 Se
0.2089 5.7327 4.8706 Se
9.7107 -0.2442 4.7677 Se
9.9134 0.0989 0.7170 Se
6.7401 5.5894 0.8200 Se
3.3822 0.2422 4.7677 Se
-4.9870 1.0294 8.3794 Se
0.2420 1.8816 2.7953 Se
8.1985 -2.7107 6.4076 Se
3.1793 -0.1009 0.7170 Se
-1.4034 6.9028 8.3830 Se
4.9869 -1.0294 8.3794 Se
7.9847 -3.0470 10.4583 Se
4.8943 2.7086 6.4077 Se
0.4116 6.0758 0.8200 Se
-1.6521 2.7097 10.3554 Se
0.3963 9.8101 2.7959 Se
1.4383 -3.0460 6.3046 Se
-3.2124 3.9521 2.7923 Se
1.5595 1.0284 8.3836 Se
5.1081 3.0450 10.4584 Se
-1.4383 3.0460 6.3047 Se
6.7555 1.8552 2.7959 Se
3.7851 7.6888 2.7918 Se
-4.5376 4.7646 8.3830 Se
1.1859 7.2956 3.0572 In
2.3880 -1.4663 8.1179 In
-0.8602 3.9493 1.5805 In
6.2123 4.8066 7.1683 In
-0.3339 4.8078 9.5948 In
2.1103 -1.8841 4.0070 In
5.9659 4.3696 3.0574 In
8.0120 7.7157 1.5806 In
-4.1584 -1.4652 8.6449 In
0.9394 6.8585 7.1682 In
0.3341 -4.8076 9.5947 In
4.1564 1.4620 2.5303 In
-2.1102 1.8843 4.0071 In
4.1584 1.4653 8.6450 In
-2.3880 1.4663 8.1181 In
2.9954 10.2032 2.5305 In
```

Values from the calculation:
The value obtained for the total magnetic moment is 0.000 μB/cell. The raw formation energy is -96.9 kJ/mol of atoms.